A relaxed PmSm2UN4 crystal, computed with PBE.

a b c (Å): 3.551 6.130 6.115
angles (deg): 109.13 90.00 90.00
Last column: magnetic moment on the atom in μB.
Sites, in units of the cell vectors:
1 N 0.500 0.223 0.225  -0.03
2 Pm 0.500 0.500 0.000  0.02
3 N 0.000 0.775 0.228  -0.01
4 Sm 0.000 0.500 0.500  0.05
5 U 0.000 0.000 0.000  0.59
6 Sm 0.500 0.000 0.500  0.02
7 N 0.000 0.225 0.772  -0.01
8 N 0.500 0.777 0.775  -0.03

Properties
E: -0.648 Ry per atom
Volume: 126 Å³/cell
Uncorrected formation energy: -1138.5 kJ/mol of formula units
Symmetry: No. 10